{
  "formula": "Li2FeSnS4",
  "functional": "GGA-PBE",
  "state": "relaxed",
  "lattice": [[6.399, 0.000, 0.000], [0.000, 6.782, 0.000], [-6.389, 0.000, 7.928]],
  "species": ["Li", "Li", "Li", "Li", "Fe", "Fe", "S", "S", "S", "S", "S", "S", "S", "S", "Sn", "Sn"],
  "frac_coords": [[0.698, 0.837, 0.071], [0.942, 0.338, 0.317], [0.942, 0.662, 0.817], [0.698, 0.163, 0.571], [0.441, 0.669, 0.314], [0.441, 0.331, 0.814], [0.795, 0.819, 0.555], [0.565, 0.348, 0.323], [0.086, 0.672, 0.319], [0.321, 0.172, 0.577], [0.795, 0.181, 0.055], [0.086, 0.328, 0.819], [0.321, 0.828, 0.077], [0.565, 0.652, 0.823], [0.194, 0.829, 0.570], [0.194, 0.171, 0.070]],
  "mass_density_g_cm3": 3.1,
  "total_energy_ev_per_atom": -4.8327,
  "crystal_system": "monoclinic",
  "volume_a3_per_cell": 344
}


{
  "formula": "LiTmFeS3",
  "functional": "GGA-PBE",
  "state": "relaxed",
  "lattice": [[6.033, -1.892, 0.000], [6.033, 1.892, 0.000], [0.000, 0.000, 10.316]],
  "species": ["S", "S", "S", "S", "S", "S", "Li", "Li", "Fe", "Fe", "Tm", "Tm"],
  "frac_coords": [[0.642, 0.642, 0.579], [0.358, 0.358, 0.421], [0.912, 0.912, 0.750], [0.642, 0.642, 0.921], [0.088, 0.088, 0.250], [0.358, 0.358, 0.079], [0.239, 0.239, 0.750], [0.761, 0.761, 0.250], [0.475, 0.475, 0.250], [0.525, 0.525, 0.750], [0.000, 0.000, 0.500], [0.000, 0.000, 0.000]],
  "mass_density_g_cm3": 4.6,
  "total_energy_ev_per_atom": -5.7224,
  "crystal_system": "orthorhombic",
  "volume_a3_per_cell": 235
}


{
  "formula": "Li2Fe3Sb2",
  "functional": "GGA-PBE",
  "state": "relaxed",
  "lattice": [[2.123, 1.226, 6.651], [-2.123, 1.226, 6.651], [0.000, -2.451, 6.651]],
  "species": ["Sb", "Sb", "Li", "Li", "Fe", "Fe", "Fe"],
  "frac_coords": [[0.019, 0.019, 0.019], [0.492, 0.492, 0.492], [0.228, 0.228, 0.228], [0.759, 0.759, 0.759], [0.623, 0.623, 0.623], [0.362, 0.362, 0.362], [0.893, 0.893, 0.893]],
  "mass_density_g_cm3": 6.8,
  "total_energy_ev_per_atom": -5.2901,
  "crystal_system": "trigonal",
  "volume_a3_per_cell": 104
}


{
  "formula": "LiFe3Sb5",
  "functional": "GGA-PBE",
  "state": "relaxed",
  "lattice": [[5.298, 0.000, 0.000], [-2.649, 4.589, 0.000], [0.000, 0.000, 8.238]],
  "species": ["Li", "Sb", "Sb", "Sb", "Sb", "Sb", "Fe", "Fe", "Fe"],
  "frac_coords": [[0.000, 0.000, 0.000], [0.667, 0.333, 0.773], [0.333, 0.667, 0.227], [0.000, 0.000, 0.500], [0.667, 0.333, 0.227], [0.333, 0.667, 0.773], [0.500, 0.000, 0.500], [0.000, 0.500, 0.500], [0.500, 0.500, 0.500]],
  "mass_density_g_cm3": 6.5,
  "total_energy_ev_per_atom": -5.2542,
  "crystal_system": "hexagonal",
  "volume_a3_per_cell": 200
}


{
  "formula": "LiFeSnSb",
  "functional": "GGA-PBE",
  "state": "relaxed",
  "lattice": [[0.000, 3.294, 3.294], [3.294, 0.000, 3.294], [3.294, 3.294, 0.000]],
  "species": ["Fe", "Li", "Sb", "Sn"],
  "frac_coords": [[0.250, 0.250, 0.250], [0.750, 0.750, 0.750], [0.000, 0.000, 0.000], [0.500, 0.500, 0.500]],
  "mass_density_g_cm3": 7.0,
  "total_energy_ev_per_atom": -4.5220,
  "relative_energy_mev_per_atom": 0,
  "crystal_system": "cubic",
  "volume_a3_per_cell": 72
}


{
  "formula": "LiFeTcSb",
  "functional": "GGA-PBE",
  "state": "relaxed",
  "lattice": [[0.000, 3.039, 3.039], [3.039, 0.000, 3.039], [3.039, 3.039, 0.000]],
  "species": ["Li", "Tc", "Sb", "Fe"],
  "frac_coords": [[0.250, 0.250, 0.250], [0.500, 0.500, 0.500], [0.000, 0.000, 0.000], [0.750, 0.750, 0.750]],
  "mass_density_g_cm3": 8.4,
  "total_energy_ev_per_atom": -6.0613,
  "relative_energy_mev_per_atom": 0,
  "crystal_system": "cubic",
  "volume_a3_per_cell": 56
}


{
  "formula": "LiYFeSb",
  "functional": "GGA-PBE",
  "state": "relaxed",
  "lattice": [[0.000, 3.374, 3.374], [3.374, 0.000, 3.374], [3.374, 3.374, 0.000]],
  "species": ["Fe", "Li", "Y", "Sb"],
  "frac_coords": [[0.750, 0.750, 0.750], [0.500, 0.500, 0.500], [0.250, 0.250, 0.250], [0.000, 0.000, 0.000]],
  "mass_density_g_cm3": 5.9,
  "total_energy_ev_per_atom": -5.2757,
  "relative_energy_mev_per_atom": 229,
  "crystal_system": "cubic",
  "volume_a3_per_cell": 77
}


{
  "formula": "LiYFeSb",
  "functional": "GGA-PBE",
  "state": "relaxed",
  "lattice": [[-2.850, -3.480, 0.999], [-4.555, 0.692, 0.043], [-2.640, -1.836, -3.300]],
  "species": ["Fe", "Sb", "Li", "Y"],
  "frac_coords": [[0.750, 0.750, 0.750], [0.000, 0.000, 0.000], [0.250, 0.250, 0.250], [0.500, 0.500, 0.500]],
  "mass_density_g_cm3": 6.6,
  "total_energy_ev_per_atom": -5.5044,
  "relative_energy_mev_per_atom": 0,
  "crystal_system": "cubic",
  "volume_a3_per_cell": 69
}


{
  "formula": "LiScFeSi",
  "functional": "GGA-PBE",
  "state": "relaxed",
  "lattice": [[0.000, 2.973, 2.973], [2.973, 0.000, 2.973], [2.973, 2.973, 0.000]],
  "species": ["Sc", "Li", "Si", "Fe"],
  "frac_coords": [[0.750, 0.750, 0.750], [0.000, 0.000, 0.000], [0.250, 0.250, 0.250], [0.500, 0.500, 0.500]],
  "mass_density_g_cm3": 4.3,
  "total_energy_ev_per_atom": -5.7863,
  "relative_energy_mev_per_atom": 0,
  "crystal_system": "cubic",
  "volume_a3_per_cell": 53
}


{
  "formula": "LiScFeSi",
  "functional": "GGA-PBE",
  "state": "relaxed",
  "lattice": [[0.000, 3.112, 3.112], [3.112, 0.000, 3.112], [3.112, 3.112, 0.000]],
  "species": ["Sc", "Si", "Fe", "Li"],
  "frac_coords": [[0.000, 0.000, 0.000], [0.250, 0.250, 0.250], [0.750, 0.750, 0.750], [0.500, 0.500, 0.500]],
  "mass_density_g_cm3": 3.7,
  "total_energy_ev_per_atom": -5.5411,
  "relative_energy_mev_per_atom": 245,
  "crystal_system": "cubic",
  "volume_a3_per_cell": 60
}


{
  "formula": "LiScFeSi",
  "functional": "GGA-PBE",
  "state": "relaxed",
  "lattice": [[-0.399, 3.031, 2.942], [-0.619, 4.029, -1.176], [-3.765, 1.844, 0.648]],
  "species": ["Sc", "Li", "Fe", "Si"],
  "frac_coords": [[0.750, 0.750, 0.750], [0.500, 0.500, 0.500], [0.250, 0.250, 0.250], [0.000, 0.000, 0.000]],
  "mass_density_g_cm3": 4.2,
  "total_energy_ev_per_atom": -5.7430,
  "relative_energy_mev_per_atom": 43,
  "crystal_system": "cubic",
  "volume_a3_per_cell": 54
}


{
  "formula": "LiScFeTe",
  "functional": "GGA-PBE",
  "state": "relaxed",
  "lattice": [[-2.384, 2.181, 2.977], [-1.081, 4.201, -0.701], [-4.166, 1.078, -0.885]],
  "species": ["Sc", "Te", "Fe", "Li"],
  "frac_coords": [[0.000, 0.000, 0.000], [0.500, 0.500, 0.500], [0.250, 0.250, 0.250], [0.750, 0.750, 0.750]],
  "mass_density_g_cm3": 6.5,
  "total_energy_ev_per_atom": -5.2611,
  "relative_energy_mev_per_atom": 0,
  "crystal_system": "cubic",
  "volume_a3_per_cell": 60
}